# 1
# AcCoGe4

An optimized crystal structure of AcCoGe4 (GGA-PBE, the Alexandria database).

Results
* magnetic moment: 0.000 μB per cell
* E_form: -287 meV per atom

abc: 7.8315 4.0170 7.6639
angles: 90.00 90.00 90.00
Last column: nearest neighbours and their distance in Å.
Space group Pmma (No. 51)
One atom of each set of equivalent atoms:
Ac 0.2500 0.0000 0.1539 [2 per cell]  12 Ge 3.23-3.47, 1 Co 3.57
Co 0.2500 0.0000 0.6876 [2 per cell]  8 Ge 2.43-2.59
Ge 0.0000 0.0000 0.5000 [2 per cell]  2 Co 2.43
Ge 0.0894 0.5000 0.8238 [4 per cell]  1 Ge 2.51, 2 Co 2.59
Ge 0.2500 0.5000 0.4846 [2 per cell]  2 Co 2.54, 4 Ge 2.81

=====

# 2
# Pr2Tl3Cu

An optimized crystal structure of Pr2Tl3Cu (GGA-PBE, the Alexandria database).

Results
* magnetic moment: 0.000 μB per cell
* E_form: -242 meV per atom

abc: 3.8276 4.9240 8.6173
angles: 90.00 90.00 90.00
Last column: nearest neighbours and their distance in Å.
Space group Pmm2 (No. 25)
One atom of each set of equivalent atoms:
Pr 0.0000 0.0000 0.0000 [1 per cell]  2 Cu 3.28, 8 Tl 3.46-3.47
Pr 0.0000 0.5000 0.4787 [1 per cell]  8 Tl 3.25-3.54, 4 Cu 3.44
Tl 0.5000 0.0000 0.6263 [1 per cell]  1 Cu 2.73, 2 Tl 3.00
Tl 0.5000 0.5000 0.1736 [1 per cell]  2 Cu 2.73, 1 Tl 3.01
Tl 0.5000 0.5000 0.8245 [1 per cell]  3 Tl 3.00-3.01
Cu 0.5000 0.0000 0.3098 [1 per cell]  3 Tl 2.73

=====

# 3
# InRe2Sb

An optimized crystal structure of InRe2Sb (GGA-PBE, the Alexandria database).

Results
* energy relative to the lowest polymorph listed for this composition: 0.399 eV per atom
* magnetic moment: 0.000 μB per cell
* raw formation energy: 0.64 eV/atom

abc: 3.0090 4.5813 11.2288
angles: 90.00 90.00 90.00
Last column: nearest neighbours and their distance in Å.
Space group Imm2 (No. 44)
One atom of each set of equivalent atoms:
In 0.0000 0.0000 0.0000 [2 per cell]  4 Re 2.74, 2 In 3.01
Re 0.0000 0.0000 0.5072 [2 per cell]  2 Re 2.63, 4 In 2.74, 2 Sb 2.86
Re 0.0000 0.5000 0.8156 [2 per cell]  2 Re 2.63, 4 Sb 2.93
Sb 0.0000 0.5000 0.2242 [2 per cell]  6 Re 2.86-2.93, 2 Sb 3.01

=====

no.,total DFT energy (no corrections) (hartree per atom)
1,-0.1924
2,-0.1360
3,-0.2681